{"formula": "SrBeCu2Sb", "functional": "PBE", "state": "relaxed", "lattice": [[4.862, 0.000, 0.000], [0.000, 4.862, 0.000], [0.000, 0.000, 6.444]], "species": ["Sr", "Be", "Cu", "Cu", "Sb"], "fractional_positions": [[0.000, 0.000, 0.000], [0.500, 0.500, 0.000], [0.000, 0.500, 0.500], [0.500, 0.000, 0.500], [0.000, 0.000, 0.500]], "n_ef_per_ev_cell": 3.84, "formation_energy_uncorrected_ev_per_atom": 0.670, "total_magnetization_mub_per_fu": 0.0}